Density functional theory data (PBE) for crystalline K2Si at its relaxed geometry.

Values from the calculation:
Energy above the most stable polymorph in this dataset in meV/atom: 18
Uncorrected formation energy in eV per atom: 0.060
Spin magnetization in μB/atom: 0.0000

a b c (Å): 10.958 10.958 3.945
angles (deg): 90.00 90.00 149.49
Sites, in units of the cell vectors:
1 K 0.073 0.927 0.750
2 K 0.323 0.677 0.250
3 K 0.677 0.323 0.750
4 K 0.927 0.073 0.250
5 Si 0.468 0.532 0.750
6 Si 0.532 0.468 0.250